Below is a relaxed structure of MnSeF6, with properties calculated at the PBE with a Hubbard U level.

Cell lengths 5.228, 5.228, 5.824 Å; angles 90.66, 90.66, 119.94 degrees
Sites, in units of the cell vectors:
Mn1 0.000 0.000 0.000
Se1 0.999 0.001 0.500
F1 0.000 0.285 0.727
F2 0.284 0.001 0.725
F3 0.284 0.284 0.282
F4 0.715 0.000 0.273
F5 0.716 0.716 0.718
F6 0.999 0.716 0.275

Summary:
Total magnetization, μB/atom: 0.620
E, eV/atom: -4.665
Crystal system: monoclinic